# 1
Na2In5Ag4: optimized geometry, PBE-GGA.

Properties
ΔH_f (0 K) ... -0.05 eV/atom
DOS(E_F) ... 0.438 states/eV per atom

a b c (Å): 7.233 7.233 9.007
angles (deg): 128.37 128.37 48.99
Atoms (fractional coordinates):
Na1 0.201 0.201 0.202
Na2 0.799 0.799 0.798
In1 0.252 0.748 0.328
In2 0.252 0.748 0.672
In3 0.500 0.500 0.000
In4 0.748 0.252 0.328
In5 0.748 0.252 0.672
Ag1 0.257 0.257 0.588
Ag2 0.257 0.257 0.927
Ag3 0.743 0.743 0.073
Ag4 0.743 0.743 0.412


# 2
NaIn2Ag6: optimized geometry, PBE-GGA.

Properties
ΔE to the lowest computed polymorph ... 0 meV/atom
ΔH_f (0 K) ... -0.03 eV/atom
DOS(E_F) ... 0.204 states/eV per atom

a b c (Å): 9.042 9.042 4.280
angles (deg): 90.00 90.00 90.00
Atoms (fractional coordinates):
Na1 0.000 0.000 0.000
Na2 0.500 0.500 0.500
In1 0.179 0.179 0.500
In2 0.321 0.679 0.000
In3 0.679 0.321 0.000
In4 0.821 0.821 0.500
Ag1 0.005 0.337 0.000
Ag2 0.163 0.505 0.500
Ag3 0.163 0.837 0.500
Ag4 0.337 0.005 0.000
Ag5 0.337 0.337 0.000
Ag6 0.495 0.837 0.500
Ag7 0.505 0.163 0.500
Ag8 0.663 0.663 0.000
Ag9 0.663 0.995 0.000
Ag10 0.837 0.163 0.500
Ag11 0.837 0.495 0.500
Ag12 0.995 0.663 0.000


# 3
Na8InAg2: optimized geometry, PBE-GGA.

Properties
ΔE to the lowest computed polymorph ... 17 meV/atom
ΔH_f (0 K) ... 0.00 eV/atom
DOS(E_F) ... 0.411 states/eV per atom

a b c (Å): 8.231 8.231 5.584
angles (deg): 98.46 98.46 112.47
Atoms (fractional coordinates):
Na1 0.064 0.312 0.584
Na2 0.238 0.762 0.000
Na3 0.312 0.064 0.584
Na4 0.370 0.370 0.177
Na5 0.630 0.630 0.823
Na6 0.688 0.936 0.416
Na7 0.762 0.238 0.000
Na8 0.936 0.688 0.416
In1 0.000 0.000 0.000
Ag1 0.322 0.678 0.500
Ag2 0.678 0.322 0.500


# 4
NaIn2Ag2: optimized geometry, PBE-GGA.

Properties
ΔE to the lowest computed polymorph ... 0 meV/atom
ΔH_f (0 K) ... -0.09 eV/atom
DOS(E_F) ... 0.367 states/eV per atom

a b c (Å): 4.762 5.653 9.575
angles (deg): 85.84 76.16 66.41
Atoms (fractional coordinates):
Na1 0.038 0.123 0.295
Na2 0.962 0.877 0.705
In1 0.331 0.285 0.555
In2 0.364 0.793 0.968
In3 0.636 0.207 0.032
In4 0.669 0.715 0.445
Ag1 0.156 0.330 0.869
Ag2 0.331 0.542 0.285
Ag3 0.669 0.458 0.715
Ag4 0.844 0.670 0.131


# 5
NaIn4Ag4: optimized geometry, PBE-GGA.

Properties
ΔE to the lowest computed polymorph ... 33 meV/atom
ΔH_f (0 K) ... 0.03 eV/atom
DOS(E_F) ... 0.331 states/eV per atom

a b c (Å): 9.623 9.623 5.228
angles (deg): 90.00 90.00 90.00
Atoms (fractional coordinates):
Na1 0.250 0.250 0.250
Na2 0.750 0.750 0.750
In1 0.139 0.639 0.248
In2 0.139 0.861 0.748
In3 0.361 0.639 0.748
In4 0.361 0.861 0.248
In5 0.639 0.139 0.752
In6 0.639 0.361 0.252
In7 0.861 0.139 0.252
In8 0.861 0.361 0.752
Ag1 0.061 0.562 0.748
Ag2 0.062 0.939 0.248
Ag3 0.438 0.561 0.248
Ag4 0.439 0.938 0.748
Ag5 0.561 0.062 0.252
Ag6 0.562 0.439 0.752
Ag7 0.938 0.061 0.752
Ag8 0.939 0.438 0.252


# 6
Na14InAg: optimized geometry, PBE-GGA.

Properties
ΔH_f (0 K) ... 0.00 eV/atom
DOS(E_F) ... 0.459 states/eV per atom

a b c (Å): 9.982 7.234 7.234
angles (deg): 89.85 90.00 90.00
Atoms (fractional coordinates):
Na1 0.000 0.000 0.000
Na2 0.000 0.500 0.500
Na3 0.000 0.500 0.999
Na4 0.000 0.999 0.500
Na5 0.275 0.247 0.247
Na6 0.277 0.245 0.752
Na7 0.277 0.752 0.245
Na8 0.277 0.752 0.752
Na9 0.500 0.000 0.497
Na10 0.500 0.497 0.000
Na11 0.723 0.245 0.752
Na12 0.723 0.752 0.245
Na13 0.723 0.752 0.752
Na14 0.725 0.247 0.247
In1 0.500 0.499 0.499
Ag1 0.500 0.000 0.000


# 7
NaInAg3: optimized geometry, PBE-GGA.

Properties
ΔE to the lowest computed polymorph ... 0 meV/atom
ΔH_f (0 K) ... -0.05 eV/atom
DOS(E_F) ... 0.215 states/eV per atom

a b c (Å): 5.832 5.832 7.964
angles (deg): 111.88 111.88 60.08
Atoms (fractional coordinates):
Na1 0.077 0.077 0.235
Na2 0.923 0.923 0.765
In1 0.332 0.332 0.999
In2 0.668 0.668 0.001
Ag1 0.109 0.613 0.339
Ag2 0.385 0.385 0.661
Ag3 0.387 0.891 0.661
Ag4 0.613 0.109 0.339
Ag5 0.615 0.615 0.339
Ag6 0.891 0.387 0.661


# 8
Na5In4Ag2: optimized geometry, PBE-GGA.

Properties
ΔH_f (0 K) ... -0.08 eV/atom
DOS(E_F) ... 0.337 states/eV per atom

a b c (Å): 8.398 3.338 10.336
angles (deg): 90.00 94.42 90.00
Atoms (fractional coordinates):
Na1 0.000 0.000 0.000
Na2 0.038 0.000 0.342
Na3 0.352 0.000 0.863
Na4 0.648 0.000 0.137
Na5 0.962 0.000 0.658
In1 0.289 0.500 0.571
In2 0.297 0.500 0.149
In3 0.703 0.500 0.851
In4 0.711 0.500 0.429
Ag1 0.419 0.000 0.365
Ag2 0.581 0.000 0.635